1.
This record from the Alexandria database describes an optimized crystal structure of KGa2Pt2. The functional is PBE.

Cell lengths 8.080, 8.080, 2.785 Å; angles 90.00, 90.00, 90.00 degrees
Positions (direct):
Pt1 0.658 0.158 0.000
Pt2 0.342 0.842 0.000
Pt3 0.158 0.342 0.000
Pt4 0.842 0.658 0.000
Ga1 0.635 0.865 0.500
Ga2 0.865 0.365 0.500
Ga3 0.135 0.635 0.500
Ga4 0.365 0.135 0.500
K1 0.500 0.500 0.000
K2 0.000 0.000 0.000

Values from the calculation:
As for the crystal system: tetragonal. The space group is P4/mbm. As for the formation energy: -0.44 eV per atom.


2.
This record from the Alexandria database describes an optimized crystal structure of LaSm2Ru. The functional is PBE.

Cell lengths 6.530, 7.330, 9.774 Å; angles 90.00, 90.00, 90.00 degrees
Positions (direct):
Sm1 0.171 0.672 0.432
Sm2 0.671 0.828 0.932
Sm3 0.329 0.172 0.068
Sm4 0.171 0.672 0.068
Sm5 0.829 0.328 0.932
Sm6 0.829 0.328 0.568
Sm7 0.329 0.172 0.432
Sm8 0.671 0.828 0.568
La1 0.641 0.553 0.250
La2 0.859 0.053 0.250
La3 0.359 0.447 0.750
La4 0.141 0.947 0.750
Ru1 0.960 0.624 0.750
Ru2 0.540 0.124 0.750
Ru3 0.460 0.876 0.250
Ru4 0.040 0.376 0.250

Values from the calculation:
As for the crystal system: orthorhombic. The space group is Pnma. As for the formation energy: -0.25 eV per atom.


3.
This record from the Alexandria database describes an optimized crystal structure of DyBeSi2Ni4. The functional is PBE.

Cell lengths 3.876, 3.876, 8.281 Å; angles 76.47, 76.47, 60.00 degrees
Positions (direct):
Ni1 0.137 0.137 0.589
Ni2 0.589 0.589 0.233
Ni3 0.863 0.863 0.411
Ni4 0.411 0.411 0.767
Be1 0.500 0.500 0.500
Si1 0.239 0.239 0.284
Si2 0.761 0.761 0.716
Dy1 0.000 0.000 0.000

Values from the calculation:
As for the crystal system: trigonal. The space group is R-3m. The formation energy (no corrections) comes out at -0.62 eV/atom.


4.
This record from the Alexandria database describes an optimized crystal structure of As2OsSe. The functional is PBE.

Cell lengths 8.855, 8.855, 8.855 Å; angles 21.53, 21.53, 21.53 degrees
Positions (direct):
Se1 0.776 0.776 0.776
As1 0.244 0.244 0.244
As2 0.979 0.979 0.979
Os1 0.501 0.501 0.501

Values from the calculation:
As for the crystal system: trigonal. The space group is R3m. The formation energy (no corrections) comes out at 0.32 eV/atom.


5.
This record from the Alexandria database describes an optimized crystal structure of ErZnSnPt. The functional is PBE.

Cell lengths 4.821, 4.821, 4.821 Å; angles 60.00, 60.00, 60.00 degrees
Positions (direct):
Zn1 0.250 0.250 0.250
Sn1 0.000 0.000 0.000
Er1 0.500 0.500 0.500
Pt1 0.750 0.750 0.750

Values from the calculation:
As for the crystal system: cubic. The space group is F-43m. As for the formation energy: -0.67 eV per atom.


6.
This record from the Alexandria database describes an optimized crystal structure of BaZr2Sb2. The functional is PBE.

Cell lengths 8.572, 8.572, 3.716 Å; angles 90.00, 90.00, 90.00 degrees
Positions (direct):
Ba1 0.000 0.000 0.000
Ba2 0.500 0.500 0.000
Zr1 0.141 0.641 0.500
Zr2 0.359 0.141 0.500
Zr3 0.859 0.359 0.500
Zr4 0.641 0.859 0.500
Sb1 0.860 0.640 0.000
Sb2 0.140 0.360 0.000
Sb3 0.640 0.140 0.000
Sb4 0.360 0.860 0.000

Values from the calculation:
As for the crystal system: tetragonal. The space group is P4/mbm. The formation energy (no corrections) comes out at -0.44 eV/atom.


no.,volume (A^3/atom),mass density (kg/m³)
1,18.18,10386
2,29.24,7677
3,12.96,7404
4,20.48,8492
5,19.80,11455
6,27.31,6851